#A
DFT (GGA-PBE) results for HoPuAu2 after structural relaxation.

Unit cell a=3.5691 b=3.5691 c=7.3749 alpha=90.00 beta=90.00 gamma=90.00
Each line ends with the local moment (μB).
Positions (direct):
1 Au 0.0000 0.0000 0.2690  0.01
2 Pu 0.5000 0.5000 0.0000  5.40
3 Au 0.0000 0.0000 0.7310  0.01
4 Ho 0.5000 0.5000 0.5000  0.01

Summary:
N(E_F)   10.249 states/eV/f.u.

***

#B
DFT (GGA-PBE) results for HoPuAu2 after structural relaxation.

Unit cell a=5.1163 b=5.1163 c=5.1163 alpha=60.00 beta=60.00 gamma=60.00
Each line ends with the local moment (μB).
Positions (direct):
1 Au 0.2500 0.2500 0.2500  0.01
2 Ho 0.0000 0.0000 0.0000  0.12
3 Pu 0.5000 0.5000 0.5000  5.31
4 Au 0.7500 0.7500 0.7500  0.01

Summary:
N(E_F)   11.530 states/eV/f.u.

***

Which is the most stable structure? #A is the most stable.

***

#A
DFT (GGA-PBE) results for HoPuRhAu after structural relaxation.

Unit cell a=3.4304 b=3.4304 c=7.4035 alpha=90.00 beta=90.00 gamma=90.00
Each line ends with the local moment (μB).
Positions (direct):
1 Rh 0.5000 0.5000 0.5969  -0.20
2 Pu 0.0000 0.0000 0.8349  5.33
3 Au 0.5000 0.5000 0.1222  0.05
4 Ho 0.0000 0.0000 0.3739  0.12

Summary:
N(E_F)   10.490 states/eV/f.u.

***

#B
DFT (GGA-PBE) results for HoPuRhAu after structural relaxation.

Unit cell a=4.9839 b=4.9839 c=4.9839 alpha=60.00 beta=60.00 gamma=60.00
Each line ends with the local moment (μB).
Positions (direct):
1 Au 0.7500 0.7500 0.7500  0.04
2 Rh 0.2500 0.2500 0.2500  -0.16
3 Pu 0.0000 0.0000 0.0000  5.26
4 Ho 0.5000 0.5000 0.5000  0.17

Summary:
N(E_F)   12.530 states/eV/f.u.

***

Which is the most stable structure? #A is the most stable.

***

#A
DFT (GGA-PBE) results for Ho8RhAu2 after structural relaxation.

Unit cell a=5.8655 b=8.1066 c=8.1066 alpha=119.84 beta=102.49 gamma=102.49
Positions (direct):
1 Rh 0.1440 0.0027 0.0027
2 Ho 0.6083 0.3491 0.1112
3 Ho 0.9847 0.8040 0.1904
4 Au 0.5036 0.7185 0.3083
5 Ho 0.3444 0.8928 0.6518
6 Ho 0.3444 0.6518 0.8928
7 Ho 0.7847 0.6461 0.6461
8 Ho 0.9847 0.1904 0.8040
9 Ho 0.6083 0.1112 0.3491
10 Au 0.5036 0.3083 0.7185
11 Ho 0.1888 0.3592 0.3592

Summary:
N(E_F)   11.940 states/eV/f.u.

***

#B
DFT (GGA-PBE) results for Ho8RhAu2 after structural relaxation.

Unit cell a=5.0956 b=6.7449 c=9.0542 alpha=104.50 beta=106.34 gamma=90.00
Positions (direct):
1 Ho 0.2026 0.3163 0.4053
2 Ho 0.5890 0.4391 0.1780
3 Rh 0.5000 0.0000 0.0000
4 Ho 0.3400 0.0305 0.6800
5 Au 0.1881 0.7275 0.3762
6 Au 0.8119 0.2725 0.6238
7 Ho 0.7974 0.6837 0.5947
8 Ho 0.6600 0.9695 0.3200
9 Ho 0.9707 0.2143 0.9414
10 Ho 0.4110 0.5609 0.8220
11 Ho 0.0293 0.7857 0.0586

Summary:
N(E_F)   9.361 states/eV/f.u.

***

Which is the most stable structure? #B is the most stable.